[1]
Entry from the Alexandria database: an optimized crystal structure of SnHg4S5 (GGA-PBE).

V = 22.012 Å³/atom
Crystal system = tetragonal
D(E_F) = 2.5 states/eV/cell
Size of the total moment = 0.0 μB/f.u.
Energy = -2.6697 eV per atom
Formation energy without anion corrections = -85 meV/atom

abc: 5.5338 6.8872 6.8872
angles: 80.71 66.31 66.31
Positions (direct):
S1 0.0951 0.6125 0.1993
S2 0.7076 0.1993 0.3875
S3 0.9069 0.3875 0.8007
S4 0.5010 0.0000 0.0000
S5 0.2944 0.8007 0.6125
Hg1 0.2004 0.1981 0.4033
Hg2 0.6036 0.5967 0.1981
Hg3 0.8017 0.8019 0.5967
Hg4 0.3985 0.4033 0.8019
Sn1 0.0011 0.0000 0.0000

=====

[2]
Entry from the Alexandria database: an optimized crystal structure of SnHg2S (GGA-PBE).

V = 27.221 Å³/atom
Crystal system = trigonal
D(E_F) = 2.2 states/eV/cell
Size of the total moment = 0.0 μB/f.u.
Energy = -2.0356 eV per atom
Formation energy without anion corrections = 148 meV/atom

abc: 3.7364 3.7364 9.2605
angles: 78.36 78.36 60.00
Positions (direct):
S1 0.5000 0.5000 0.5000
Hg1 0.1038 0.1038 0.6885
Hg2 0.8962 0.8962 0.3115
Sn1 0.0000 0.0000 0.0000

=====

[3]
Entry from the Alexandria database: an optimized crystal structure of SnHgS2 (GGA-PBE).

V = 28.114 Å³/atom
Crystal system = trigonal
D(E_F) = 1.1 states/eV/cell
Size of the total moment = 0.0 μB/f.u.
Energy = -3.2796 eV per atom
Formation energy without anion corrections = -140 meV/atom

abc: 6.5724 6.5724 6.5724
angles: 41.46 41.46 41.46
Positions (direct):
Sn1 0.9845 0.9845 0.9845
S1 0.6429 0.6429 0.6429
S2 0.1307 0.1307 0.1307
Hg1 0.4929 0.4929 0.4929

=====

[4]
Entry from the Alexandria database: an optimized crystal structure of SnHgS3 (GGA-PBE).

V = 25.473 Å³/atom
Crystal system = monoclinic
D(E_F) = 0.1 states/eV/cell
Size of the total moment = 0.0 μB/f.u.
Energy = -3.5790 eV per atom
Excess energy over the best structure of this formula in the dataset = 0 meV/atom
Formation energy without anion corrections = -242 meV/atom

abc: 3.8594 9.5525 6.9392
angles: 95.30 90.00 90.00
Positions (direct):
S1 0.2500 0.3164 0.4639
S2 0.2500 0.0095 0.7220
S3 0.2500 0.6595 0.1148
S4 0.7500 0.6836 0.5361
S5 0.7500 0.3405 0.8852
S6 0.7500 0.9905 0.2780
Hg1 0.7500 0.6941 0.8895
Hg2 0.2500 0.3059 0.1105
Sn1 0.2500 0.8370 0.4125
Sn2 0.7500 0.1630 0.5875

=====

[5]
Entry from the Alexandria database: an optimized crystal structure of SnHgS2 (GGA-PBE).

V = 26.017 Å³/atom
Crystal system = monoclinic
D(E_F) = 0.0 states/eV/cell
Size of the total moment = 0.0 μB/f.u.
Energy = -3.3597 eV per atom
Formation energy without anion corrections = -220 meV/atom

abc: 4.1644 4.1654 6.5358
angles: 79.14 79.13 70.64
Positions (direct):
S1 0.4140 0.0864 0.0878
S2 0.9809 0.6533 0.5909
Hg1 0.0378 0.0294 0.8393
Sn1 0.5757 0.4918 0.3392

=====

[6]
Entry from the Alexandria database: an optimized crystal structure of SnHgS2 (GGA-PBE).

V = 23.112 Å³/atom
Crystal system = tetragonal
D(E_F) = 2.7 states/eV/cell
Size of the total moment = 0.0 μB/f.u.
Energy = -3.3351 eV per atom
Formation energy without anion corrections = -195 meV/atom

abc: 5.6146 5.6146 7.0826
angles: 66.65 66.65 90.00
Positions (direct):
Sn1 0.2500 0.7500 0.5000
Sn2 0.5000 0.5000 0.0000
S1 0.0062 0.5062 0.9876
S2 0.7438 0.7438 0.5124
S3 0.2562 0.2562 0.4876
S4 0.4938 0.9938 0.0124
Hg1 0.0000 0.0000 0.0000
Hg2 0.7500 0.2500 0.5000

=====

[7]
Entry from the Alexandria database: an optimized crystal structure of SnHgS2 (GGA-PBE).

V = 26.731 Å³/atom
Crystal system = trigonal
D(E_F) = 2.4 states/eV/cell
Size of the total moment = 0.0 μB/f.u.
Energy = -2.9420 eV per atom
Formation energy without anion corrections = 198 meV/atom

abc: 8.2996 8.2996 8.2996
angles: 27.41 27.41 27.41
Positions (direct):
Sn1 0.0000 0.0000 0.0000
S1 0.1055 0.1055 0.1055
S2 0.8945 0.8945 0.8945
Hg1 0.5000 0.5000 0.5000

=====

[8]
Entry from the Alexandria database: an optimized crystal structure of SnHgS2 (GGA-PBE).

V = 25.033 Å³/atom
Crystal system = triclinic
D(E_F) = 3.7 states/eV/cell
Size of the total moment = 0.0 μB/f.u.
Energy = -3.3526 eV per atom
Formation energy without anion corrections = -213 meV/atom

abc: 9.8842 5.4132 3.8857
angles: 88.07 96.42 104.22
Positions (direct):
Hg1 0.0879 0.0569 0.4260
Hg2 0.2330 0.4819 0.1609
S1 0.7626 0.0655 0.0700
S2 0.5583 0.4731 0.5166
S3 0.9628 0.6317 0.6177
S4 0.3581 0.9071 0.9690
Sn1 0.5546 0.9713 0.5145
Sn2 0.7664 0.5672 0.0722

=====

[9]
Entry from the Alexandria database: an optimized crystal structure of SnHgS2 (GGA-PBE).

V = 23.186 Å³/atom
Crystal system = monoclinic
D(E_F) = 0.7 states/eV/cell
Size of the total moment = 0.0 μB/f.u.
Energy = -3.3326 eV per atom
Formation energy without anion corrections = -193 meV/atom

abc: 7.0212 4.0960 4.0960
angles: 121.44 109.64 70.36
Positions (direct):
Hg1 0.0000 0.0000 0.0000
Sn1 0.5000 0.5000 0.5000
S1 0.2498 0.2603 0.7397
S2 0.7502 0.7397 0.2603

=====

[10]
Entry from the Alexandria database: an optimized crystal structure of SnHgS2 (GGA-PBE).

V = 31.291 Å³/atom
Crystal system = trigonal
D(E_F) = 0.0 states/eV/cell
Size of the total moment = 0.0 μB/f.u.
Energy = -3.2575 eV per atom
Formation energy without anion corrections = -118 meV/atom

abc: 4.1421 4.1421 8.4237
angles: 90.00 90.00 120.00
Positions (direct):
S1 0.3333 0.6667 0.8517
S2 0.6667 0.3333 0.2615
Hg1 0.0000 0.0000 0.9259
Sn1 0.3333 0.6667 0.4158